Ca4Pa3FeN8 | PBE | optimized geometry

space-group type: R-3m (166)
E: -8.19 eV per atom
density: 7083 kg/m³
V: 239 Å³ per cell

The structure in POSCAR format:
```
Ca4Pa3FeN8
1.0
6.971 0.000 0.000
0.000 6.967 -0.009
-3.485 -3.482 4.935
Fe Pa N Ca
1 3 8 4
direct
0.000 0.500 0.000
0.500 0.500 0.500
0.500 0.500 0.000
0.000 0.500 0.500
0.740 0.721 0.480
0.249 0.718 0.498
0.720 0.718 0.969
0.751 0.282 0.502
0.260 0.279 0.520
0.751 0.282 0.031
0.249 0.718 0.969
0.280 0.282 0.031
0.000 0.000 0.000
0.500 0.000 0.000
0.500 0.000 0.500
0.000 0.000 0.500
```



TbTm4As5 | PBE | optimized geometry

space-group type: I4/m (87)
E: -6.09 eV per atom
density: 8368 kg/m³
calculated formation energy: -145.9 kJ per mole of atoms
V: 240 Å³ per cell

The structure in POSCAR format:
```
TbTm4As5
1.0
5.197 0.000 2.507
2.599 6.449 1.253
-0.203 0.000 7.062
As Tb Tm
5 1 4
direct
0.303 0.798 0.597
0.102 0.597 0.202
0.501 0.000 0.000
0.900 0.403 0.798
0.699 0.202 0.403
0.001 0.000 0.000
0.801 0.801 0.599
0.201 0.199 0.401
0.400 0.401 0.801
0.602 0.599 0.199
```



Cs2RbBeP2 | PBE | optimized geometry

space-group type: Ibam (72)
E: -3.09 eV per atom
density: 2483 kg/m³
calculated formation energy: -21.3 kJ per mole of atoms
V: 565 Å³ per cell

The structure in POSCAR format:
```
Cs2RbBeP2
1.0
7.653 0.000 0.000
0.000 7.223 0.000
-3.827 -3.611 10.215
Rb P Cs Be
2 4 4 2
direct
0.000 0.250 0.000
0.000 0.750 0.000
0.400 0.532 0.063
0.337 0.968 0.937
0.663 0.032 0.063
0.600 0.468 0.937
0.169 0.353 0.707
0.831 0.647 0.293
0.462 0.147 0.293
0.538 0.853 0.707
0.500 0.750 0.000
0.500 0.250 0.000
```



VSiOs | PBE | optimized geometry

space-group type: P-6m2 (187)
E: -8.94 eV per atom
density: 10809 kg/m³
V: 41 Å³ per cell

The structure in POSCAR format:
```
VSiOs
1.0
-2.191 0.817 -1.558
2.045 -1.043 -3.424
-2.386 -2.773 1.902
Os V Si
1 1 1
direct
0.834 0.667 0.333
0.333 0.333 0.667
0.833 0.000 0.000
```



Li5GeRh2 | PBE | optimized geometry

space-group type: Pbam (55)
E: -3.90 eV per atom
density: 4625 kg/m³
calculated formation energy: -28.1 kJ per mole of atoms
V: 225 Å³ per cell

The structure in POSCAR format:
```
Li5GeRh2
1.0
-0.135 2.821 -2.635
1.044 -3.608 -3.917
-10.520 -1.679 -1.258
Li Rh Ge
10 4 2
direct
0.500 0.313 0.372
0.000 0.070 0.253
0.000 0.570 0.247
0.000 0.500 0.500
0.500 0.813 0.128
0.000 0.000 0.000
0.500 0.187 0.872
0.500 0.687 0.628
0.000 0.930 0.747
0.000 0.430 0.753
0.500 0.175 0.613
0.500 0.325 0.113
0.500 0.675 0.887
0.500 0.825 0.387
0.000 0.500 0.000
0.000 0.000 0.500
```



Ac12Ga2Ge5 | PBE | optimized geometry

space-group type: C2/m (12)
E: -4.51 eV per atom
density: 7507 kg/m³
calculated formation energy: -37.1 kJ per mole of atoms
V: 714 Å³ per cell

The structure in POSCAR format:
```
Ac12Ga2Ge5
1.0
7.856 0.000 0.000
-3.928 9.292 0.297
0.000 -2.928 9.683
Ac Ge Ga
12 5 2
direct
0.392 0.303 0.567
0.910 0.344 0.095
0.910 0.303 0.567
0.090 0.697 0.433
0.503 0.005 0.284
0.987 0.974 0.185
0.090 0.656 0.905
0.434 0.344 0.095
0.566 0.656 0.905
0.497 0.995 0.716
0.013 0.026 0.815
0.608 0.697 0.433
0.682 0.365 0.826
0.318 0.635 0.174
0.000 0.000 0.500
0.699 0.399 0.363
0.301 0.601 0.637
0.334 0.000 0.000
0.666 0.000 0.000
```



Ca2PrDyTl4 | PBE | optimized geometry

space-group type: R-3m (166)
E: -3.24 eV per atom
density: 8546 kg/m³
calculated formation energy: -36.8 kJ per mole of atoms
V: 233 Å³ per cell

The structure in POSCAR format:
```
Ca2PrDyTl4
1.0
-3.016 -2.110 -4.060
-4.753 -2.484 1.124
-6.888 6.297 -1.854
Tl Pr Ca Dy
4 1 2 1
direct
0.127 0.127 0.620
0.873 0.873 0.380
0.623 0.623 0.132
0.377 0.377 0.868
0.000 0.000 0.000
0.751 0.751 0.748
0.249 0.249 0.252
0.500 0.500 0.500
```



ZnCu2Si | PBE | optimized geometry

space-group type: I-42d (122)
E: -3.52 eV per atom
density: 6259 kg/m³
V: 117 Å³ per cell

The structure in POSCAR format:
```
ZnCu2Si
1.0
-1.156 1.406 3.290
-2.374 -2.889 0.400
4.129 -5.043 5.754
Si Cu Zn
2 4 2
direct
0.250 0.750 0.500
0.500 0.500 0.000
0.875 0.855 0.750
0.145 0.625 0.250
0.605 0.125 0.250
0.375 0.395 0.750
0.750 0.250 0.500
0.000 0.000 0.000
```



Pr5HoSc4 | PBE | optimized geometry

space-group type: P4/mmm (123)
E: -5.33 eV per atom
density: 5688 kg/m³
calculated formation energy: 4.9 kJ per mole of atoms
V: 306 Å³ per cell

The structure in POSCAR format:
```
Pr5HoSc4
1.0
-2.333 2.082 1.859
-2.459 -0.386 -2.652
-8.406 -18.827 10.535
Ho Pr Sc
1 5 4
direct
0.000 0.000 0.000
0.500 0.500 0.108
0.500 0.500 0.305
0.500 0.500 0.892
0.500 0.500 0.500
0.500 0.500 0.695
0.000 0.000 0.598
0.000 0.000 0.794
0.000 0.000 0.402
0.000 0.000 0.206
```



Si3Pt | PBE | optimized geometry

space-group type: R-3m (166)
E: -5.61 eV per atom
density: 7295 kg/m³
V: 64 Å³ per cell

The structure in POSCAR format:
```
Si3Pt
1.0
6.600 -0.102 -0.062
5.769 3.209 -0.062
5.769 1.449 2.864
Si Pt
3 1
direct
0.500 0.500 0.500
0.749 0.749 0.749
0.251 0.251 0.251
0.000 0.000 0.000
```



Ba2SnS2 | PBE | optimized geometry

space-group type: I4/mmm (139)
E: -4.10 eV per atom
density: 3870 kg/m³
E above lowest polymorph: 0.1307 eV/atom
V: 196 Å³ per cell

The structure in POSCAR format:
```
Ba2SnS2
1.0
-1.811 -3.696 3.691
-3.080 -2.400 -3.914
2.456 -6.927 -1.590
Ba S Sn
2 2 1
direct
0.342 0.342 0.317
0.658 0.658 0.683
0.750 0.250 0.500
0.250 0.750 0.500
0.000 0.000 0.000
```



MgMoOsRh | PBE | optimized geometry

space-group type: F-43m (216)
E: -7.79 eV per atom
density: 11395 kg/m³
calculated formation energy: -3.5 kJ per mole of atoms
V: 60 Å³ per cell

The structure in POSCAR format:
```
MgMoOsRh
1.0
-1.362 -2.859 3.055
2.888 -2.705 1.924
1.101 0.597 4.218
Os Mg Rh Mo
1 1 1 1
direct
0.250 0.250 0.250
0.500 0.500 0.500
0.750 0.750 0.750
0.000 0.000 0.000
```



La12CeSm5 | PBE | optimized geometry

space-group type: C2/m (12)
E: -4.89 eV per atom
density: 6625 kg/m³
calculated formation energy: 3.0 kJ per mole of atoms
V: 641 Å³ per cell

The structure in POSCAR format:
```
La12CeSm5
1.0
11.062 -0.001 -0.016
5.532 9.586 -0.633
0.009 -1.741 6.162
La Sm Ce
12 5 1
direct
0.836 0.000 0.500
0.501 0.334 0.501
0.499 0.666 0.499
0.671 0.328 0.998
0.834 0.666 0.499
0.672 0.000 0.000
0.329 0.672 0.002
0.164 0.000 0.500
0.001 0.328 0.999
0.328 0.000 0.000
0.999 0.672 0.001
0.166 0.334 0.501
0.165 0.671 0.507
0.667 0.667 0.998
0.835 0.329 0.493
0.333 0.333 0.002
0.500 0.000 0.500
0.000 0.000 0.000
```



CeTm4Hg | PBE | optimized geometry

space-group type: C2/c (15)
E: -4.02 eV per atom
density: 9675 kg/m³
calculated formation energy: 0.1 kJ per mole of atoms
V: 349 Å³ per cell

The structure in POSCAR format:
```
CeTm4Hg
1.0
-1.498 -5.999 -0.513
8.641 1.157 0.466
-3.876 1.907 6.934
Tm Hg Ce
8 2 2
direct
0.237 0.289 0.378
0.748 0.391 0.211
0.037 0.180 0.789
0.359 0.911 0.622
0.641 0.089 0.378
0.252 0.609 0.789
0.963 0.820 0.211
0.763 0.711 0.622
0.250 0.000 0.999
0.750 0.000 0.001
0.357 0.607 0.214
0.643 0.393 0.786
```



SnHgAu2 | PBE | optimized geometry

space-group type: R-3m (166)
E: -2.76 eV per atom
density: 12552 kg/m³
calculated formation energy: -4.5 kJ per mole of atoms
E above lowest polymorph: 0.0103 eV/atom
V: 94 Å³ per cell

The structure in POSCAR format:
```
SnHgAu2
1.0
3.864 0.000 0.000
1.932 3.347 0.000
1.932 1.116 7.296
Hg Sn Au
1 1 2
direct
0.500 0.500 0.500
0.000 0.000 0.000
0.747 0.747 0.758
0.253 0.253 0.242
```



LaDy3Co2 | PBE | optimized geometry

space-group type: C2/m (12)
E: -5.62 eV per atom
density: 8113 kg/m³
calculated formation energy: -12.4 kJ per mole of atoms
V: 305 Å³ per cell

The structure in POSCAR format:
```
LaDy3Co2
1.0
-3.341 0.135 1.709
-2.667 -8.118 -0.449
2.444 -3.193 9.155
La Co Dy
2 4 6
direct
0.158 0.436 0.248
0.842 0.564 0.752
0.762 0.420 0.056
0.766 0.922 0.546
0.238 0.580 0.944
0.234 0.078 0.454
0.583 0.783 0.051
0.587 0.264 0.561
0.413 0.736 0.439
0.417 0.217 0.949
0.844 0.062 0.250
0.156 0.938 0.750
```



UMnH4 | PBE | optimized geometry

space-group type: P4/mmm (123)
E: -5.71 eV per atom
density: 10538 kg/m³
V: 47 Å³ per cell

The structure in POSCAR format:
```
UMnH4
1.0
2.966 0.000 -0.001
0.000 2.966 -0.002
0.002 0.003 5.321
H Mn U
4 1 1
direct
0.001 0.497 0.311
0.501 0.997 0.686
0.001 0.497 0.686
0.501 0.997 0.311
0.001 0.997 0.498
0.501 0.497 0.998
```



SnAsHRu2 | PBE | optimized geometry

space-group type: P4/mmm (123)
E: -5.03 eV per atom
density: 7959 kg/m³
E above lowest polymorph: 0.7250 eV/atom
V: 83 Å³ per cell

The structure in POSCAR format:
```
SnAsHRu2
1.0
4.946 0.000 0.000
0.000 3.383 0.000
0.000 0.000 4.946
Ru As Sn H
2 1 1 1
direct
0.500 0.000 0.000
0.000 0.000 0.500
0.500 0.500 0.500
0.000 0.000 0.000
0.000 0.500 0.000
```



Ac4Sb2PSe | PBE | optimized geometry

space-group type: P2/m (10)
E: -5.65 eV per atom
density: 7461 kg/m³
V: 281 Å³ per cell

The structure in POSCAR format:
```
Ac4Sb2PSe
1.0
-0.315 2.080 4.125
-0.314 -7.156 3.584
7.443 -2.417 1.788
P Ac Se Sb
1 4 1 2
direct
0.000 0.500 0.500
0.000 0.262 0.254
0.000 0.738 0.746
0.500 0.266 0.738
0.500 0.734 0.262
0.500 0.500 0.000
0.000 0.000 0.000
0.500 0.000 0.500
```



Nb12ReW7 | PBE | optimized geometry

space-group type: R-3 (148)
E: -10.84 eV per atom
density: 11743 kg/m³
calculated formation energy: 34.3 kJ per mole of atoms
V: 366 Å³ per cell

The structure in POSCAR format:
```
Nb12ReW7
1.0
-4.640 -1.733 -5.182
-5.189 -1.849 4.588
-3.069 6.478 -0.096
Nb W Re
12 7 1
direct
0.143 0.504 0.625
0.128 0.725 0.256
0.496 0.375 0.857
0.256 0.128 0.725
0.872 0.275 0.744
0.504 0.625 0.143
0.275 0.744 0.872
0.725 0.256 0.128
0.857 0.496 0.375
0.375 0.857 0.496
0.744 0.872 0.275
0.625 0.143 0.504
0.954 0.869 0.634
0.500 0.500 0.500
0.366 0.046 0.131
0.634 0.954 0.869
0.046 0.131 0.366
0.869 0.634 0.954
0.131 0.366 0.046
0.000 0.000 0.000
```